Entry 1:
Here is a geometry-optimized Cs2VCrCl6 structure from Alexandria. Energies are from PBE.

**SG**: I4/mmm, No. 139
**Uncorrected formation energy**: -135.56 kJ/mol of atoms
**Energy**: -4.56 eV/atom
**M_tot**: 7.00 μB/f.u.

abc: 7.208 7.208 7.199
angles: 59.96 59.96 90.00
Fractional positions:
Cl 0.748 0.748 0.505
Cl 0.746 0.746 0.000
Cl 0.254 0.746 0.000
Cl 0.252 0.252 0.495
Cl 0.254 0.254 0.000
Cl 0.746 0.254 0.000
V 0.500 0.500 0.000
Cs 0.750 0.250 0.500
Cs 0.250 0.750 0.500
Cr 0.000 0.000 0.000



Entry 2:
Here is a geometry-optimized PuH2Pb structure from Alexandria. Energies are from PBE.

**SG**: R-3m, No. 166
**Energy**: -6.37 eV/atom
**M_tot**: 4.79 μB/f.u.

abc: 3.649 3.649 5.930
angles: 72.08 72.08 60.00
Fractional positions:
Pb 0.500 0.500 0.500
H 0.302 0.302 0.093
H 0.698 0.698 0.907
Pu 0.000 0.000 0.000



Entry 3:
Here is a geometry-optimized MgCo2Sb structure from Alexandria. Energies are from PBE.

**SG**: P4/mmm, No. 123
**Uncorrected formation energy**: 7.08 kJ/mol of atoms
**Energy**: -4.91 eV/atom
**M_tot**: 1.36 μB/f.u.

abc: 3.149 3.149 6.024
angles: 90.00 90.00 90.00
Fractional positions:
Co 0.000 0.000 0.516
Co 0.000 0.000 0.984
Mg 0.500 0.500 0.250
Sb 0.500 0.500 0.750